VASP calculation (PBE) on crystalline Dy2ThIn2 at its relaxed geometry.

Unit cell a=5.2729 b=5.2729 c=6.5393 alpha=90.00 beta=90.00 gamma=120.00
With the nearest neighbours (Å) after each atom.
Space group P-3m1 (No. 164)
One atom of each set of equivalent atoms:
Dy: 0.3333 0.6667 0.1630  5 In 3.12-3.41
Th: 0.0000 0.0000 0.5000  6 In 3.28
In: 0.3333 0.6667 0.6851  5 Dy 3.12-3.41, 3 Th 3.28

For the formation enthalpy at 0 K, the calculation gives -11.5 kJ/mol of atoms. The density of states at the Fermi level is 1.252 states/eV per atom. The final energy is -22.70 eV per cell. As for the mass density: 8.30 g/cm³. The crystal system is trigonal.


VASP calculation (PBE) on crystalline Dy4ThIn2 at its relaxed geometry.

Unit cell a=8.6323 b=10.3166 c=4.8565 alpha=90.00 beta=90.00 gamma=90.00
With the nearest neighbours (Å) after each atom.
Space group Cmmm (No. 65)
One atom of each set of equivalent atoms:
Dy: 0.2074 0.0000 0.0000  4 In 3.36-3.43, 2 Th 3.50, 5 Dy 3.56-3.58
Dy: 0.2500 0.2500 0.5000  4 In 3.26, 2 Th 3.36, 4 Dy 3.56
Th: 0.0000 0.5000 0.5000  4 In 3.36, 8 Dy 3.36-3.50
In: 0.0000 0.2754 0.0000  8 Dy 3.26-3.43, 2 Th 3.36

For the formation enthalpy at 0 K, the calculation gives -11.7 kJ/mol of atoms. As for the polymorph energy (0 for the lowest one): 0.0 meV/atom. The density of states at the Fermi level is 1.303 states/eV per atom. The final energy is -64.30 eV per cell. As for the mass density: 8.54 g/cm³. The crystal system is orthorhombic.


VASP calculation (PBE) on crystalline DyTh2In at its relaxed geometry.

Unit cell a=7.8392 b=7.8392 c=7.8392 alpha=90.00 beta=90.00 gamma=90.00
With the nearest neighbours (Å) after each atom.
Space group Fm-3m (No. 225)
One atom of each set of equivalent atoms:
Dy: 0.0000 0.0000 0.0000  8 Th 3.39
Th: 0.2500 0.2500 0.2500  4 In 3.39, 4 Dy 3.39
In: 0.0000 0.0000 0.5000  8 Th 3.39

For the formation enthalpy at 0 K, the calculation gives 1.5 kJ/mol of atoms. As for the polymorph energy (0 for the lowest one): 206.0 meV/atom. The density of states at the Fermi level is 1.405 states/eV per atom. The final energy is -88.47 eV per cell. As for the mass density: 10.22 g/cm³. The crystal system is cubic.


VASP calculation (PBE) on crystalline DyTh3In4 at its relaxed geometry.

Unit cell a=3.3210 b=5.8661 c=11.7139 alpha=90.00 beta=90.00 gamma=90.00
With the nearest neighbours (Å) after each atom.
Space group Pmmm (No. 47)
One atom of each set of equivalent atoms:
Dy: 0.0000 0.0000 0.0000  8 In 3.30-3.37, 2 Dy 3.32
Th: 0.0000 0.0000 0.5000  2 Th 3.32, 8 In 3.37-3.43
Th: 0.0000 0.5000 0.2494  2 Th 3.32, 8 In 3.36-3.37
In: 0.5000 0.0000 0.2436  2 Dy 3.30, 2 In 3.32, 6 Th 3.37-3.43
In: 0.5000 0.5000 0.0000  2 In 3.32, 4 Th 3.36, 4 Dy 3.37
In: 0.5000 0.5000 0.5000  2 In 3.32, 8 Th 3.37

For the formation enthalpy at 0 K, the calculation gives -26.2 kJ/mol of atoms. As for the polymorph energy (0 for the lowest one): 0.0 meV/atom. The density of states at the Fermi level is 0.882 states/eV per atom. The final energy is -39.98 eV per cell. As for the mass density: 9.59 g/cm³. The crystal system is orthorhombic.


VASP calculation (PBE) on crystalline DyTh2In at its relaxed geometry.

Unit cell a=4.8332 b=4.8332 c=5.0654 alpha=90.00 beta=90.00 gamma=90.00
With the nearest neighbours (Å) after each atom.
Space group P4/mmm (No. 123)
One atom of each set of equivalent atoms:
Dy: 0.0000 0.0000 0.0000  4 In 3.42, 8 Th 3.50
Th: 0.0000 0.5000 0.5000  4 Th 3.42, 4 In 3.50, 4 Dy 3.50
In: 0.5000 0.5000 0.0000  4 Dy 3.42, 8 Th 3.50

For the formation enthalpy at 0 K, the calculation gives -18.4 kJ/mol of atoms. As for the polymorph energy (0 for the lowest one): 0.0 meV/atom. The density of states at the Fermi level is 1.111 states/eV per atom. The final energy is -22.94 eV per cell. As for the mass density: 10.40 g/cm³. The crystal system is tetragonal.


VASP calculation (PBE) on crystalline DyThIn2 at its relaxed geometry.

Unit cell a=3.5713 b=3.5713 c=31.4640 alpha=90.00 beta=90.00 gamma=120.00
With the nearest neighbours (Å) after each atom.
Space group R-3m (No. 166, hexagonal axes)
One atom of each set of equivalent atoms:
Dy: 0.0000 0.0000 0.0000  6 In 3.25, 6 Dy 3.57
Th: 0.0000 0.0000 0.5000  6 In 3.42, 6 Th 3.57
In: 0.0000 0.0000 0.2534  3 Dy 3.25, 3 Th 3.42, 6 In 3.57

For the formation enthalpy at 0 K, the calculation gives -21.0 kJ/mol of atoms. The density of states at the Fermi level is 1.054 states/eV per atom. The final energy is -55.11 eV per cell. As for the mass density: 8.95 g/cm³. The crystal system is trigonal.


VASP calculation (PBE) on crystalline DyTh2In9 at its relaxed geometry.

Unit cell a=4.7115 b=4.7115 c=14.0884 alpha=90.00 beta=90.00 gamma=90.00
With the nearest neighbours (Å) after each atom.
Space group P4/mmm (No. 123)
One atom of each set of equivalent atoms:
Dy: 0.0000 0.0000 0.0000  12 In 3.27-3.33
Th: 0.0000 0.0000 0.3304  12 In 3.33-3.36
In: 0.0000 0.5000 0.1613  8 In 3.27-3.36, 2 Dy 3.27, 2 Th 3.35
In: 0.0000 0.5000 0.5000  8 In 3.33-3.34, 4 Th 3.36
In: 0.5000 0.5000 0.0000  8 In 3.27, 4 Dy 3.33
In: 0.5000 0.5000 0.3317  4 Th 3.33, 8 In 3.34-3.36

For the formation enthalpy at 0 K, the calculation gives -35.8 kJ/mol of atoms. The density of states at the Fermi level is 0.476 states/eV per atom. The final energy is -48.54 eV per cell. As for the mass density: 8.81 g/cm³. The crystal system is tetragonal.


VASP calculation (PBE) on crystalline Dy4ThIn5 at its relaxed geometry.

Unit cell a=3.5823 b=3.5823 c=21.0177 alpha=90.00 beta=90.00 gamma=90.00
With the nearest neighbours (Å) after each atom.
Space group P4/mmm (No. 123)
One atom of each set of equivalent atoms:
Dy: 0.0000 0.0000 0.0982  8 In 3.26-3.27, 4 Dy 3.58
Dy: 0.0000 0.0000 0.2948  8 In 3.26-3.27, 4 Dy 3.58
Th: 0.0000 0.0000 0.5000  8 In 3.39, 4 Th 3.58
In: 0.5000 0.5000 0.0000  8 Dy 3.27, 4 In 3.58
In: 0.5000 0.5000 0.1962  8 Dy 3.26-3.27, 4 In 3.58
In: 0.5000 0.5000 0.3926  4 Dy 3.26, 4 Th 3.39, 4 In 3.58

For the formation enthalpy at 0 K, the calculation gives -41.1 kJ/mol of atoms. The density of states at the Fermi level is 0.769 states/eV per atom. The final energy is -43.78 eV per cell. As for the mass density: 8.96 g/cm³. The crystal system is tetragonal.


- Which formula does entry 3 have?
  DyTh2In


- The highest formation enthalpy at 0 K belongs to which entry?
  number 3


- Which value of mass density does entry 2 give?
  8.54 g/cm³